Here is Mo3OsC after structural relaxation from OQMD via LeMat-Bulk. Energies are from GGA-PBE.

abc: 4.115 4.115 4.115
angles: 90.00 90.00 90.00
Positions (direct):
Mo (0.000, 0.000, 0.500)
Mo (0.000, 0.500, 0.000)
Mo (0.500, 0.000, 0.000)
C (0.000, 0.000, 0.000)
Os (0.500, 0.500, 0.500)

Results
**Symmetry**: No. 221
**Total energy**: -52.2 eV/cell
**V**: 13.9 A^3/atom

Here is HoTmIn2 after structural relaxation from OQMD via LeMat-Bulk. Energies are from GGA-PBE.

abc: 4.273 6.109 6.109
angles: 43.39 90.00 90.00
Positions (direct):
Ho (0.000, 0.362, 0.362)
Tm (0.500, 0.638, 0.638)
In (0.000, 0.088, 0.088)
In (0.500, 0.913, 0.913)

Results
**Symmetry**: No. 38
**Total energy**: -16.1 eV/cell
**V**: 27.4 A^3/atom

Here is CuTcGeMo after structural relaxation from OQMD via LeMat-Bulk. Energies are from GGA-PBE.

abc: 4.329 4.329 4.329
angles: 60.00 60.00 60.00
Positions (direct):
Tc (0.250, 0.250, 0.250)
Mo (0.500, 0.500, 0.500)
Ge (0.000, 0.000, 0.000)
Cu (0.750, 0.750, 0.750)

Results
**ΔE to the lowest computed polymorph**: 0 meV/atom
**Symmetry**: No. 216
**Total energy**: -29.0 eV/cell
**V**: 14.3 A^3/atom

Here is LaCuSnS3 after structural relaxation from OQMD via LeMat-Bulk. Energies are from GGA-PBE.

abc: 9.563 9.563 7.813
angles: 105.05 105.05 24.38
Positions (direct):
Cu (0.535, 0.535, 0.200)
S (0.339, 0.339, 0.659)
Sn (0.887, 0.887, 0.439)
S (0.678, 0.678, 0.841)
Cu (0.465, 0.465, 0.800)
S (0.661, 0.661, 0.341)
La (0.839, 0.839, 0.914)
Sn (0.113, 0.113, 0.561)
S (0.000, 0.000, 0.000)
S (0.500, 0.500, 0.500)
S (0.322, 0.322, 0.159)
La (0.161, 0.161, 0.086)

Results
**Symmetry**: No. 12
**Total energy**: -61.9 eV/cell
**V**: 23.7 A^3/atom

Here is Lu7Zn2S2 after structural relaxation from OQMD via LeMat-Bulk. Energies are from GGA-PBE.

abc: 8.712 8.712 8.712
angles: 154.47 69.07 117.05
Positions (direct):
Lu (0.464, 0.581, 0.883)
Lu (0.689, 0.370, 0.319)
S (0.726, 0.226, 0.500)
Lu (0.979, 0.979, 0.000)
Zn (0.840, 0.075, 0.765)
S (0.336, 0.336, 0.000)
Lu (0.699, 0.581, 0.117)
Lu (0.376, 0.747, 0.629)
Zn (0.310, 0.075, 0.235)
Lu (0.118, 0.747, 0.371)
Lu (0.051, 0.370, 0.681)

Results
**Symmetry**: No. 44
**Total energy**: -50.5 eV/cell
**V**: 22.8 A^3/atom

Here is YTcIr2 after structural relaxation from OQMD via LeMat-Bulk. Energies are from GGA-PBE.

abc: 4.584 4.584 4.584
angles: 60.00 60.00 60.00
Positions (direct):
Ir (0.000, 0.000, 0.000)
Ir (0.250, 0.250, 0.250)
Tc (0.750, 0.750, 0.750)
Y (0.500, 0.500, 0.500)

Results
**Formation energy**: 121 meV per atom
**Symmetry**: No. 216
**Total energy**: -34.1 eV/cell
**V**: 17.0 A^3/atom

Please write out number 1 again, unchanged.
Here is Mo3OsC after structural relaxation from OQMD via LeMat-Bulk. Energies are from GGA-PBE.

abc: 4.115 4.115 4.115
angles: 90.00 90.00 90.00
Positions (direct):
Mo (0.000, 0.000, 0.500)
Mo (0.000, 0.500, 0.000)
Mo (0.500, 0.000, 0.000)
C (0.000, 0.000, 0.000)
Os (0.500, 0.500, 0.500)

Results
**Symmetry**: No. 221
**Total energy**: -52.2 eV/cell
**V**: 13.9 A^3/atom

Among the records above, which one has the highest total energy? HoTmIn2

total energy of number 1 (Mo3OsC)? -52.2 eV/cell

What is the formula in the sixth record? YTcIr2